Run P
Computed, not measured: YReOs2 at its PBEsol-relaxed geometry at the SCAN level of DFT.

The structure in CIF format:
```
data_YReOs2
_cell_length_a 4.669
_cell_length_b 4.669
_cell_length_c 2.988
_cell_angle_alpha 90.00
_cell_angle_beta 90.00
_cell_angle_gamma 95.20
_space_group_name_H-M_alt 'P 1'
_space_group_IT_number 1
loop_
_space_group_symop_operation_xyz
'x,y,z'
loop_
_atom_site_label
_atom_site_fract_x
_atom_site_fract_y
_atom_site_fract_z
Y1 0.000 0.000 0.000
Re1 0.500 0.500 0.000
Os1 0.000 0.500 0.500
Os2 0.500 0.000 0.500
```

Space-group type: No. 65
Calculated volume, Å³ per cell: 64.9
N(E_F), states/eV per cell: 3.61



Run Q
Computed, not measured: YReOs2 at its PBEsol-relaxed geometry at the SCAN level of DFT.

The structure in CIF format:
```
data_YReOs2
_cell_length_a 2.804
_cell_length_b 3.767
_cell_length_c 6.467
_cell_angle_alpha 90.00
_cell_angle_beta 90.00
_cell_angle_gamma 90.00
_space_group_name_H-M_alt 'P 1'
_space_group_IT_number 1
loop_
_space_group_symop_operation_xyz
'x,y,z'
loop_
_atom_site_label
_atom_site_fract_x
_atom_site_fract_y
_atom_site_fract_z
Y1 0.000 0.000 0.000
Re1 0.500 0.500 0.687
Os1 0.000 0.000 0.494
Os2 0.500 0.500 0.290
```

Space-group type: No. 25
Calculated volume, Å³ per cell: 68.3
N(E_F), states/eV per cell: 4.27



In meV/atom, relative to the most stable structure: run P 0; run Q 37.



Run P
Computed, not measured: Zn2ReOs at its PBEsol-relaxed geometry at the SCAN level of DFT.

The structure in CIF format:
```
data_Zn2ReOs
_cell_length_a 2.800
_cell_length_b 3.678
_cell_length_c 5.449
_cell_angle_alpha 90.00
_cell_angle_beta 90.00
_cell_angle_gamma 90.00
_space_group_name_H-M_alt 'P 1'
_space_group_IT_number 1
loop_
_space_group_symop_operation_xyz
'x,y,z'
loop_
_atom_site_label
_atom_site_fract_x
_atom_site_fract_y
_atom_site_fract_z
Zn1 0.000 0.000 0.000
Zn2 0.500 0.500 0.218
Re1 0.500 0.500 0.714
Os1 0.000 0.000 0.502
```

Space-group type: No. 25
Calculated volume, Å³ per cell: 56.1
N(E_F), states/eV per cell: 1.55



Run Q
Computed, not measured: Zn2ReOs at its PBEsol-relaxed geometry at the SCAN level of DFT.

The structure in CIF format:
```
data_Zn2ReOs
_cell_length_a 4.634
_cell_length_b 4.634
_cell_length_c 4.664
_cell_angle_alpha 100.49
_cell_angle_beta 100.49
_cell_angle_gamma 34.48
_space_group_name_H-M_alt 'P 1'
_space_group_IT_number 1
loop_
_space_group_symop_operation_xyz
'x,y,z'
loop_
_atom_site_label
_atom_site_fract_x
_atom_site_fract_y
_atom_site_fract_z
Zn1 0.249 0.249 0.248
Zn2 0.751 0.751 0.752
Re1 0.000 0.000 0.500
Os1 0.500 0.500 0.000
```

Space-group type: No. 12
Calculated volume, Å³ per cell: 55.7
N(E_F), states/eV per cell: 2.84



Run R
Computed, not measured: Zn2ReOs at its PBEsol-relaxed geometry at the SCAN level of DFT.

The structure in CIF format:
```
data_Zn2ReOs
_cell_length_a 2.849
_cell_length_b 2.849
_cell_length_c 6.843
_cell_angle_alpha 90.00
_cell_angle_beta 90.00
_cell_angle_gamma 90.00
_space_group_name_H-M_alt 'P 1'
_space_group_IT_number 1
loop_
_space_group_symop_operation_xyz
'x,y,z'
loop_
_atom_site_label
_atom_site_fract_x
_atom_site_fract_y
_atom_site_fract_z
Zn1 0.000 0.000 0.000
Zn2 0.500 0.500 0.242
Re1 0.500 0.500 0.737
Os1 0.000 0.000 0.498
```

Space-group type: No. 99
Calculated volume, Å³ per cell: 55.5
N(E_F), states/eV per cell: 1.79



Run S
Computed, not measured: Zn2ReOs at its PBEsol-relaxed geometry at the SCAN level of DFT.

The structure in CIF format:
```
data_Zn2ReOs
_cell_length_a 2.696
_cell_length_b 2.696
_cell_length_c 8.861
_cell_angle_alpha 90.00
_cell_angle_beta 90.00
_cell_angle_gamma 117.22
_space_group_name_H-M_alt 'P 1'
_space_group_IT_number 1
loop_
_space_group_symop_operation_xyz
'x,y,z'
loop_
_atom_site_label
_atom_site_fract_x
_atom_site_fract_y
_atom_site_fract_z
Zn1 0.000 0.000 0.000
Zn2 0.500 0.500 0.246
Re1 0.000 0.000 0.503
Os1 0.500 0.500 0.747
```

Space-group type: No. 35
Calculated volume, Å³ per cell: 57.3
N(E_F), states/eV per cell: 1.67



In meV/atom, relative to the most stable structure: run P 96; run Q 211; run R 0; run S 241.



Run P
Computed, not measured: Zn2ReOs at its PBEsol-relaxed geometry at the SCAN level of DFT.

The structure in CIF format:
```
data_Zn2ReOs
_cell_length_a 5.133
_cell_length_b 5.133
_cell_length_c 5.133
_cell_angle_alpha 147.77
_cell_angle_beta 128.24
_cell_angle_gamma 62.30
_space_group_name_H-M_alt 'P 1'
_space_group_IT_number 1
loop_
_space_group_symop_operation_xyz
'x,y,z'
loop_
_atom_site_label
_atom_site_fract_x
_atom_site_fract_y
_atom_site_fract_z
Zn1 0.247 0.247 0.000
Zn2 0.753 0.753 0.000
Re1 0.500 0.000 0.500
Os1 0.000 0.500 0.500
```

Space-group type: No. 71
Calculated volume, Å³ per cell: 56.1
N(E_F), states/eV per cell: 1.95



Run Q
Computed, not measured: Zn2ReOs at its PBEsol-relaxed geometry at the SCAN level of DFT.

The structure in CIF format:
```
data_Zn2ReOs
_cell_length_a 4.420
_cell_length_b 4.420
_cell_length_c 4.420
_cell_angle_alpha 125.57
_cell_angle_beta 125.57
_cell_angle_gamma 80.60
_space_group_name_H-M_alt 'P 1'
_space_group_IT_number 1
loop_
_space_group_symop_operation_xyz
'x,y,z'
loop_
_atom_site_label
_atom_site_fract_x
_atom_site_fract_y
_atom_site_fract_z
Zn1 0.000 0.000 0.000
Zn2 0.750 0.250 0.500
Re1 0.500 0.500 0.000
Os1 0.250 0.750 0.500
```

Space-group type: No. 119
Calculated volume, Å³ per cell: 55.1
N(E_F), states/eV per cell: 2.28



Run R
Computed, not measured: Zn2ReOs at its PBEsol-relaxed geometry at the SCAN level of DFT.

The structure in CIF format:
```
data_Zn2ReOs
_cell_length_a 2.994
_cell_length_b 2.994
_cell_length_c 6.021
_cell_angle_alpha 90.00
_cell_angle_beta 90.00
_cell_angle_gamma 90.00
_space_group_name_H-M_alt 'P 1'
_space_group_IT_number 1
loop_
_space_group_symop_operation_xyz
'x,y,z'
loop_
_atom_site_label
_atom_site_fract_x
_atom_site_fract_y
_atom_site_fract_z
Zn1 0.000 0.000 0.244
Zn2 0.000 0.000 0.756
Re1 0.500 0.500 0.500
Os1 0.500 0.500 0.000
```

Space-group type: No. 123
Calculated volume, Å³ per cell: 54.0
N(E_F), states/eV per cell: 4.39



In meV/atom, relative to the most stable structure: run P 67; run Q 0; run R 359.



Run P
Computed, not measured: ZrReOs2 at its PBEsol-relaxed geometry at the SCAN level of DFT.

The structure in CIF format:
```
data_ZrReOs2
_cell_length_a 5.222
_cell_length_b 5.222
_cell_length_c 5.222
_cell_angle_alpha 144.85
_cell_angle_beta 129.40
_cell_angle_gamma 63.10
_space_group_name_H-M_alt 'P 1'
_space_group_IT_number 1
loop_
_space_group_symop_operation_xyz
'x,y,z'
loop_
_atom_site_label
_atom_site_fract_x
_atom_site_fract_y
_atom_site_fract_z
Zr1 0.000 0.000 0.000
Re1 0.246 0.746 0.500
Os1 0.489 0.489 0.000
Os2 0.752 0.252 0.500
```

Space-group type: No. 44
Calculated volume, Å³ per cell: 62.6
N(E_F), states/eV per cell: 3.19



Run Q
Computed, not measured: ZrReOs2 at its PBEsol-relaxed geometry at the SCAN level of DFT.

The structure in CIF format:
```
data_ZrReOs2
_cell_length_a 4.583
_cell_length_b 4.583
_cell_length_c 2.975
_cell_angle_alpha 90.00
_cell_angle_beta 90.00
_cell_angle_gamma 90.00
_space_group_name_H-M_alt 'P 1'
_space_group_IT_number 1
loop_
_space_group_symop_operation_xyz
'x,y,z'
loop_
_atom_site_label
_atom_site_fract_x
_atom_site_fract_y
_atom_site_fract_z
Zr1 0.000 0.000 0.000
Re1 0.500 0.500 0.000
Os1 0.000 0.500 0.500
Os2 0.500 0.000 0.500
```

Space-group type: No. 123
Calculated volume, Å³ per cell: 62.5
N(E_F), states/eV per cell: 4.31



In meV/atom, relative to the most stable structure: run P 73; run Q 0.



Run P
Computed, not measured: ZrReOs2 at its PBEsol-relaxed geometry at the SCAN level of DFT.

The structure in CIF format:
```
data_ZrReOs2
_cell_length_a 4.934
_cell_length_b 4.934
_cell_length_c 4.934
_cell_angle_alpha 133.34
_cell_angle_beta 133.34
_cell_angle_gamma 68.13
_space_group_name_H-M_alt 'P 1'
_space_group_IT_number 1
loop_
_space_group_symop_operation_xyz
'x,y,z'
loop_
_atom_site_label
_atom_site_fract_x
_atom_site_fract_y
_atom_site_fract_z
Zr1 0.000 0.000 0.000
Re1 0.250 0.750 0.500
Os1 0.500 0.500 0.000
Os2 0.750 0.250 0.500
```

Space-group type: No. 119
Calculated volume, Å³ per cell: 62.4
N(E_F), states/eV per cell: 4.46



Run Q
Computed, not measured: ZrReOs2 at its PBEsol-relaxed geometry at the SCAN level of DFT.

The structure in CIF format:
```
data_ZrReOs2
_cell_length_a 4.003
_cell_length_b 4.003
_cell_length_c 3.881
_cell_angle_alpha 90.00
_cell_angle_beta 90.00
_cell_angle_gamma 90.00
_space_group_name_H-M_alt 'P 1'
_space_group_IT_number 1
loop_
_space_group_symop_operation_xyz
'x,y,z'
loop_
_atom_site_label
_atom_site_fract_x
_atom_site_fract_y
_atom_site_fract_z
Zr1 0.000 0.000 0.000
Re1 0.500 0.500 0.000
Os1 0.000 0.500 0.500
Os2 0.500 0.000 0.500
```

Space-group type: No. 123
Calculated volume, Å³ per cell: 62.2
N(E_F), states/eV per cell: 4.69



In meV/atom, relative to the most stable structure: run P 61; run Q 0.



Run P
Computed, not measured: ZrRe2Os at its PBEsol-relaxed geometry at the SCAN level of DFT.

The structure in CIF format:
```
data_ZrRe2Os
_cell_length_a 4.463
_cell_length_b 4.463
_cell_length_c 4.463
_cell_angle_alpha 60.00
_cell_angle_beta 60.00
_cell_angle_gamma 60.00
_space_group_name_H-M_alt 'P 1'
_space_group_IT_number 1
loop_
_space_group_symop_operation_xyz
'x,y,z'
loop_
_atom_site_label
_atom_site_fract_x
_atom_site_fract_y
_atom_site_fract_z
Zr1 0.000 0.000 0.000
Re1 0.250 0.250 0.250
Re2 0.500 0.500 0.500
Os1 0.750 0.750 0.750
```

Space-group type: No. 216
Calculated volume, Å³ per cell: 62.9
N(E_F), states/eV per cell: 3.36



Run Q
Computed, not measured: ZrRe2Os at its PBEsol-relaxed geometry at the SCAN level of DFT.

The structure in CIF format:
```
data_ZrRe2Os
_cell_length_a 4.786
_cell_length_b 4.786
_cell_length_c 4.786
_cell_angle_alpha 129.85
_cell_angle_beta 129.85
_cell_angle_gamma 73.65
_space_group_name_H-M_alt 'P 1'
_space_group_IT_number 1
loop_
_space_group_symop_operation_xyz
'x,y,z'
loop_
_atom_site_label
_atom_site_fract_x
_atom_site_fract_y
_atom_site_fract_z
Zr1 0.000 0.000 0.000
Re1 0.250 0.750 0.500
Re2 0.500 0.500 0.000
Os1 0.750 0.250 0.500
```

Space-group type: No. 119
Calculated volume, Å³ per cell: 63.0
N(E_F), states/eV per cell: 4.62



In meV/atom, relative to the most stable structure: run P 0; run Q 105.